Entry 1:
First-principles (PBE) data for an optimized crystal structure of YTcB3, as listed in the Alexandria database.

Cell: 3.6774 3.1136 9.9048 Å, 90.00 100.70 90.00°
Element x y z (fractional)
Y (0.0773, 0.2500, 0.1547)
B (0.6786, 0.2500, 0.3573)
B (0.3214, 0.7500, 0.6427)
Tc (0.7922, 0.2500, 0.5844)
Y (0.9227, 0.7500, 0.8453)
Tc (0.2078, 0.7500, 0.4156)
B (0.6325, 0.7500, 0.2650)
B (0.3675, 0.2500, 0.7350)
B (0.4785, 0.2500, 0.9570)
B (0.5215, 0.7500, 0.0430)

Results
**Total moment**: 0.0 μB/f.u.
**Space group**: No. 63
**Crystal system**: orthorhombic
**Energy above the lowest structure with this stoichiometry**: 0 meV per atom
**Total energy**: -0.5718 Ry/atom
**DOS at the Fermi energy**: 6.977 states/eV per cell

---

Entry 2:
First-principles (PBE) data for an optimized crystal structure of Y2Tc3B4, as listed in the Alexandria database.

Cell: 6.0618 6.2610 6.3202 Å, 90.00 90.00 107.82°
Element x y z (fractional)
Y (0.5781, 0.1924, 0.3316)
B (0.8958, 0.0829, 0.5392)
B (0.1042, 0.9171, 0.4608)
Tc (0.0000, 0.5000, 0.5000)
Tc (0.7467, 0.7446, 0.3252)
B (0.6042, 0.9171, 0.0392)
Y (0.9219, 0.8076, 0.8316)
B (0.6162, 0.4936, 0.6156)
Y (0.4219, 0.8076, 0.6684)
Tc (0.2533, 0.2554, 0.6748)
B (0.8838, 0.5064, 0.1156)
Tc (0.7533, 0.2554, 0.8252)
Y (0.0781, 0.1924, 0.1684)
B (0.3958, 0.0829, 0.9608)
B (0.1162, 0.4936, 0.8844)
Tc (0.5000, 0.5000, 0.0000)
B (0.3838, 0.5064, 0.3844)
Tc (0.2467, 0.7446, 0.1748)

Results
**Total moment**: 0.0 μB/f.u.
**Space group**: No. 14
**Crystal system**: monoclinic
**Total energy**: -0.6086 Ry/atom
**DOS at the Fermi energy**: 7.205 states/eV per cell

---

Entry 3:
First-principles (PBE) data for an optimized crystal structure of YTc4B2, as listed in the Alexandria database.

Cell: 3.7331 3.8074 7.0782 Å, 105.60 90.00 90.00°
Element x y z (fractional)
Tc (0.5000, 0.1736, 0.3472)
Tc (0.5000, 0.8264, 0.6528)
Y (0.0000, 0.0000, 0.0000)
Tc (0.0000, 0.3187, 0.6374)
B (0.5000, 0.4292, 0.8584)
B (0.5000, 0.5708, 0.1416)
Tc (0.0000, 0.6813, 0.3626)

Results
**Total moment**: 0.0 μB/f.u.
**Space group**: No. 65
**Crystal system**: orthorhombic
**Total energy**: -0.6538 Ry/atom
**DOS at the Fermi energy**: 8.772 states/eV per cell

---

Entry 4:
First-principles (PBE) data for an optimized crystal structure of YTc2B4, as listed in the Alexandria database.

Cell: 3.0676 3.5569 7.4328 Å, 103.84 101.91 90.00°
Element x y z (fractional)
B (0.6525, 0.6525, 0.3050)
Tc (0.1877, 0.1877, 0.3755)
Tc (0.8123, 0.8123, 0.6245)
B (0.9049, 0.4049, 0.8098)
B (0.3475, 0.3475, 0.6950)
Y (0.5000, 0.0000, 0.0000)
B (0.0951, 0.5951, 0.1902)

Results
**Total moment**: 0.0 μB/f.u.
**Space group**: No. 71
**Crystal system**: orthorhombic
**Total energy**: -0.5963 Ry/atom
**DOS at the Fermi energy**: 4.129 states/eV per cell

---

Entry 5:
First-principles (PBE) data for an optimized crystal structure of YTc2B6, as listed in the Alexandria database.

Cell: 3.1352 5.6770 5.6770 Å, 73.46 73.97 73.97°
Element x y z (fractional)
B (0.1903, 0.0536, 0.5658)
B (0.0000, 0.1530, 0.8470)
B (0.8097, 0.9464, 0.4342)
Tc (0.3386, 0.1614, 0.1614)
B (0.8097, 0.4342, 0.9464)
B (0.0000, 0.8470, 0.1530)
Y (0.5000, 0.5000, 0.5000)
B (0.1903, 0.5658, 0.0536)
Tc (0.6614, 0.8386, 0.8386)

Results
**Total moment**: 0.0 μB/f.u.
**Space group**: No. 71
**Crystal system**: orthorhombic
**Energy above the lowest structure with this stoichiometry**: 0 meV per atom
**Total energy**: -0.5834 Ry/atom
**DOS at the Fermi energy**: 3.507 states/eV per cell

---

Entry 6:
First-principles (PBE) data for an optimized crystal structure of YTcB3, as listed in the Alexandria database.

Cell: 4.0936 4.0936 4.0936 Å, 90.00 90.00 90.00°
Element x y z (fractional)
Tc (0.0000, 0.0000, 0.0000)
B (0.5000, 0.0000, 0.0000)
Y (0.5000, 0.5000, 0.5000)
B (0.0000, 0.5000, 0.0000)
B (0.0000, 0.0000, 0.5000)

Results
**Total moment**: 0.0 μB/f.u.
**Space group**: No. 221
**Crystal system**: cubic
**Energy above the lowest structure with this stoichiometry**: 508 meV per atom
**Total energy**: -0.5344 Ry/atom
**DOS at the Fermi energy**: 1.372 states/eV per cell

---

Entry 7:
First-principles (PBE) data for an optimized crystal structure of YTcB4, as listed in the Alexandria database.

Cell: 3.6062 5.9754 11.5638 Å, 90.00 90.00 90.00°
Element x y z (fractional)
B (0.5000, 0.3870, 0.0472)
Y (0.0000, 0.3730, 0.6500)
B (0.5000, 0.1130, 0.5472)
B (0.5000, 0.8638, 0.0314)
Y (0.0000, 0.1270, 0.1500)
B (0.5000, 0.1362, 0.9686)
Y (0.0000, 0.8730, 0.8500)
B (0.5000, 0.4773, 0.1922)
Y (0.0000, 0.6270, 0.3500)
B (0.5000, 0.8870, 0.4528)
Tc (0.0000, 0.8673, 0.5873)
Tc (0.0000, 0.6327, 0.0873)
Tc (0.0000, 0.1327, 0.4127)
B (0.5000, 0.2130, 0.8153)
B (0.5000, 0.9773, 0.3078)
B (0.5000, 0.7130, 0.6847)
B (0.5000, 0.0227, 0.6922)
B (0.5000, 0.7870, 0.1847)
B (0.5000, 0.3638, 0.4686)
B (0.5000, 0.6130, 0.9528)
B (0.5000, 0.5227, 0.8078)
B (0.5000, 0.6362, 0.5314)
Tc (0.0000, 0.3673, 0.9127)
B (0.5000, 0.2870, 0.3153)

Results
**Total moment**: 0.0 μB/f.u.
**Space group**: No. 55
**Crystal system**: orthorhombic
**Energy above the lowest structure with this stoichiometry**: 0 meV per atom
**Total energy**: -0.5792 Ry/atom
**DOS at the Fermi energy**: 8.912 states/eV per cell

---

Entry 8:
First-principles (PBE) data for an optimized crystal structure of YTcB14, as listed in the Alexandria database.

Cell: 5.8865 7.3964 7.3964 Å, 67.55 66.55 66.55°
Element x y z (fractional)
B (0.2752, 0.4019, 0.7250)
B (0.8328, 0.2025, 0.1319)
B (0.8241, 0.3734, 0.4700)
Tc (0.5000, 0.0000, 0.5000)
B (0.2248, 0.7750, 0.0981)
B (0.1220, 0.2483, 0.5077)
B (0.3241, 0.9700, 0.8734)
B (0.6220, 0.0077, 0.7483)
B (0.6672, 0.3681, 0.2975)
B (0.8326, 0.9700, 0.8734)
B (0.7248, 0.5981, 0.2750)
B (0.6674, 0.6266, 0.5300)
B (0.9021, 0.7750, 0.0981)
B (0.1759, 0.6266, 0.5300)
B (0.8780, 0.7517, 0.4923)
B (0.9169, 0.9132, 0.2530)
B (0.1672, 0.7975, 0.8681)
B (0.4021, 0.5981, 0.2750)
B (0.5979, 0.4019, 0.7250)
Y (0.2500, 0.3759, 0.1241)
B (0.0979, 0.2250, 0.9019)
B (0.3326, 0.3734, 0.4700)
B (0.4169, 0.7530, 0.4132)
B (0.7752, 0.2250, 0.9019)
B (0.6759, 0.0300, 0.1266)
B (0.1674, 0.0300, 0.1266)
Tc (0.0000, 0.0000, 0.5000)
Y (0.7500, 0.6241, 0.8759)
B (0.5831, 0.2470, 0.5868)
B (0.0831, 0.0868, 0.7470)
B (0.3780, 0.9923, 0.2517)
B (0.3328, 0.6319, 0.7025)

Results
**Total moment**: 0.0 μB/f.u.
**Space group**: No. 74
**Crystal system**: orthorhombic
**Total energy**: -0.5149 Ry/atom
**DOS at the Fermi energy**: 8.393 states/eV per cell

---

Ordered ΔH_f (0 K) results: -0.407 -0.421 -0.140 -0.413 -0.464 0.102 -0.624 -0.111; unit eV/atom.